Entry from Alexandria via LeMat-Bulk: crystalline ScSi2Br at its relaxed geometry (PBEsol).

Summary:
For the uncorrected formation energy, the calculation gives -0.388 eV per atom. The density of states at the Fermi level is 3.1 states/eV per cell.

Cell: 3.221 3.221 7.618 Å, 90.00 90.00 90.00°
Space group P4mm (No. 99)
Inequivalent atoms, fractional coordinates:
Sc  0.000  0.000  0.000 (multiplicity 1)
Si  0.000  0.000  0.612 (multiplicity 1)
Si  0.500  0.500  0.763 (multiplicity 1)
Br  0.500  0.500  0.219 (multiplicity 1)